P2W | the Alexandria database | meta-GGA SCAN | PBEsol geometry; calculated formation energy = -0.3607 eV/atom; distance to the lowest polymorph of the same formula = 0.00 eV per formula unit; SG = No. 36; calculated total energy = -30.522 eV/atom; magnetization = 0.0 μB/cell
1.0
3.151 0.000 0.000
0.000 4.948 0.000
-1.576 0.000 5.567
P W
4 2
direct
0.797 0.201 0.594
0.070 0.383 0.141
0.930 0.883 0.859
0.203 0.701 0.406
0.593 0.999 0.186
0.407 0.499 0.814

YP2W | the Alexandria database | meta-GGA SCAN | PBEsol geometry; calculated formation energy = -0.6829 eV/atom; distance to the lowest polymorph of the same formula = 0.14 eV per formula unit; SG = No. 44; calculated total energy = -30.265 eV/atom; magnetization = 0.2 μB/cell
1.0
3.293 0.000 0.000
0.000 3.396 0.000
-1.647 -1.698 6.259
Y W P
1 1 2
direct
0.796 0.296 0.591
0.547 0.547 0.094
0.187 0.687 0.374
0.970 0.970 0.941

YP2W | the Alexandria database | meta-GGA SCAN | PBEsol geometry; calculated formation energy = -0.7180 eV/atom; distance to the lowest polymorph of the same formula = 0.00 eV per formula unit; SG = No. 12; calculated total energy = -30.300 eV/atom; magnetization = 0.8 μB/cell
1.0
3.555 0.000 0.000
-1.777 3.413 0.002
0.000 -1.920 5.802
Y P W
1 2 1
direct
0.000 0.000 0.500
0.759 0.519 0.791
0.241 0.481 0.209
0.500 0.000 0.000

YP2W | the Alexandria database | meta-GGA SCAN | PBEsol geometry; calculated formation energy = -0.3904 eV/atom; distance to the lowest polymorph of the same formula = 1.31 eV per formula unit; SG = No. 71; calculated total energy = -29.972 eV/atom; magnetization = 0.0 μB/cell
1.0
-2.565 -1.870 2.881
-2.672 -3.366 -1.375
1.027 -4.166 1.399
W Y P
1 1 2
direct
0.000 0.500 0.500
0.500 0.000 0.000
0.266 0.734 0.734
0.734 0.266 0.266

YP2W | the Alexandria database | meta-GGA SCAN | PBEsol geometry; calculated formation energy = -0.3749 eV/atom; distance to the lowest polymorph of the same formula = 1.37 eV per formula unit; SG = No. 123; calculated total energy = -29.957 eV/atom; magnetization = 0.0 μB/cell
1.0
3.688 0.000 0.000
0.000 3.688 0.000
0.000 0.000 5.154
Y P W
1 2 1
direct
0.000 0.000 0.500
0.500 0.500 0.500
0.000 0.000 0.000
0.500 0.500 0.000

YP2W | the Alexandria database | meta-GGA SCAN | PBEsol geometry; calculated formation energy = -0.6077 eV/atom; distance to the lowest polymorph of the same formula = 0.44 eV per formula unit; SG = No. 38; calculated total energy = -30.190 eV/atom; magnetization = 0.0 μB/cell
1.0
3.426 0.000 0.000
0.000 4.597 0.000
-1.713 0.000 4.606
P W Y
2 1 1
direct
0.377 0.500 0.754
0.080 0.000 0.160
0.380 0.000 0.761
0.659 0.500 0.318